1.
This record from Alexandria describes an optimized crystal structure of SrY2Cu. The functional is PBE.

It has space group I4/mmm (No. 139), with a = 4.622 Å, b = 4.622 Å, c = 11.277 Å, α = 90.00°, β = 90.00° and γ = 90.00°. The distinct sites, in fractional coordinates, are Sr at (0.000, 0.000, 0.000), Y at (0.000, 0.500, 0.250) and Cu at (0.000, 0.000, 0.500).

For the calculated volume, the calculation gives 240.9 Å³/cell. As for the electronic total energy: -4.339 eV per atom. The calculation puts the formation energy at 0.34 eV per atom. The value obtained for the density of states at the Fermi level is 12.6 states/eV/cell.

2.
This record from Alexandria describes an optimized crystal structure of Cr3Ni4. The functional is PBE.

It has space group I4/mmm (No. 139), with a = 2.948 Å, b = 2.948 Å, c = 18.151 Å, α = 90.00°, β = 90.00° and γ = 90.00°. The distinct sites, in fractional coordinates, are Cr at (0.000, 0.000, 0.000), Cr at (0.000, 0.000, 0.286), Ni at (0.000, 0.000, 0.142) and Ni at (0.000, 0.000, 0.429).

For the calculated volume, the calculation gives 157.7 Å³/cell. As for the electronic total energy: -7.343 eV per atom. The calculation puts the formation energy at 0.09 eV per atom. The value obtained for the density of states at the Fermi level is 17.4 states/eV/cell.

3.
This record from Alexandria describes an optimized crystal structure of In5Ga4Sn. The functional is PBE.

It has space group Cm (No. 8), with a = 10.439 Å, b = 4.208 Å, c = 10.937 Å, α = 90.00°, β = 90.13° and γ = 90.00°. The distinct sites, in fractional coordinates, are In at (0.000, 0.000, 0.000), In at (0.013, 0.500, 0.479), In at (0.098, 0.000, 0.698), In at (0.212, 0.500, 0.898), In at (0.401, 0.500, 0.281), Ga at (0.109, 0.500, 0.188), Ga at (0.203, 0.000, 0.372), Ga at (0.292, 0.000, 0.100), Ga at (0.401, 0.000, 0.790) and Sn at (0.304, 0.500, 0.584).

For the calculated volume, the calculation gives 480.5 Å³/cell. As for the electronic total energy: -2.936 eV per atom. The calculation puts the formation energy at 0.04 eV per atom. The value obtained for the density of states at the Fermi level is 6.8 states/eV/cell.

4.
This record from Alexandria describes an optimized crystal structure of DyPaPt. The functional is PBE.

It has space group F-43m (No. 216), with a = 6.865 Å, b = 6.865 Å, c = 6.865 Å, α = 90.00°, β = 90.00° and γ = 90.00°. The distinct sites, in fractional coordinates, are Dy at (0.000, 0.000, 0.000), Pa at (0.000, 0.000, 0.500) and Pt at (0.250, 0.250, 0.250).

For the calculated volume, the calculation gives 323.5 Å³/cell. As for the electronic total energy: -7.099 eV per atom. The calculation puts the formation energy at -0.39 eV per atom. The value obtained for the density of states at the Fermi level is 28.2 states/eV/cell.